# AcScPb2 | Alexandria | GGA-PBE | optimized geometry
# **Fermi-level density of states**: 2.40 states/eV/f.u.
# **Raw total energy**: -4.78 eV/atom
# **Volume**: 31.13 A^3/atom
# **ΔE_f**: -0.31 eV/atom
data_AcScPb2
_chemical_formula_sum 'Ac1 Sc1 Pb2'
_cell_length_a 4.677
_cell_length_b 4.755
_cell_length_c 6.510
_cell_angle_alpha 111.36
_cell_angle_beta 110.95
_cell_angle_gamma 90.00
_symmetry_space_group_name_H-M 'P 1'
_symmetry_Int_Tables_number 1
loop_
_symmetry_equiv_pos_as_xyz
'x,y,z'
loop_
_atom_site_label
_atom_site_type_symbol
_atom_site_fract_x
_atom_site_fract_y
_atom_site_fract_z
Ac1 Ac 0.000 0.000 0.000
Sc1 Sc 0.250 0.749 0.499
Pb1 Pb 0.490 0.490 0.980
Pb2 Pb 0.749 0.248 0.497